{"formula": "PmGaCo2C", "functional": "PBE", "state": "relaxed", "cell": [[1.9640, -5.3237, 0.0000], [1.9640, 5.3237, 0.0000], [0.0000, 0.0000, 6.9368]], "species": ["Pm", "Pm", "Ga", "Ga", "Co", "Co", "Co", "Co", "C", "C"], "fractional_positions": [[0.0545, 0.9455, 0.7500], [0.9455, 0.0545, 0.2500], [0.2268, 0.7732, 0.2500], [0.7732, 0.2268, 0.7500], [0.3401, 0.6599, 0.5614], [0.3401, 0.6599, 0.9386], [0.6599, 0.3401, 0.0614], [0.6599, 0.3401, 0.4386], [0.5000, 0.5000, 0.0000], [0.5000, 0.5000, 0.5000]], "e_tot_ev_per_atom": -6.58, "formation_energy_ev_per_fu": -1.68, "volume_a3_per_atom": 14.506, "crystal_system": "orthorhombic"}